Density functional theory data (PBE) for LaTaSnCl2 after structural relaxation.

The structure in CIF format:
```
data_LaTaSnCl2
_symmetry_space_group_name_H-M 'P 1'
_symmetry_Int_Tables_number 1
_cell_length_a 5.297
_cell_length_b 6.727
_cell_length_c 5.297
_cell_angle_alpha 90.00
_cell_angle_beta 90.00
_cell_angle_gamma 90.00
loop_
_symmetry_equiv_pos_as_xyz
'x,y,z'
loop_
_atom_site_label
_atom_site_type_symbol
_atom_site_fract_x
_atom_site_fract_y
_atom_site_fract_z
_atom_site_occupancy
Sn1 Sn 0.000 0.000 0.000 1
Cl1 Cl 0.500 0.000 0.000 1
Cl2 Cl 0.000 0.000 0.500 1
La1 La 0.000 0.500 0.000 1
Ta1 Ta 0.500 0.500 0.500 1
```

=====

Density functional theory data (PBE) for La3SnTeCl after structural relaxation.

The structure in CIF format:
```
data_La3SnTeCl
_symmetry_space_group_name_H-M 'P 1'
_symmetry_Int_Tables_number 1
_cell_length_a 4.634
_cell_length_b 9.069
_cell_length_c 9.896
_cell_angle_alpha 99.90
_cell_angle_beta 90.00
_cell_angle_gamma 90.00
loop_
_symmetry_equiv_pos_as_xyz
'x,y,z'
loop_
_atom_site_label
_atom_site_type_symbol
_atom_site_fract_x
_atom_site_fract_y
_atom_site_fract_z
_atom_site_occupancy
Sn1 Sn 0.750 0.340 0.838 1
La1 La 0.250 0.103 0.869 1
Cl1 Cl 0.750 0.909 0.422 1
Sn2 Sn 0.250 0.660 0.162 1
La2 La 0.750 0.897 0.131 1
La3 La 0.750 0.254 0.515 1
Te1 Te 0.250 0.169 0.217 1
La4 La 0.250 0.746 0.485 1
Cl2 Cl 0.250 0.091 0.578 1
La5 La 0.750 0.414 0.164 1
La6 La 0.250 0.586 0.836 1
Te2 Te 0.750 0.831 0.783 1
```

=====

Density functional theory data (PBE) for La4SnTe2Cl after structural relaxation.

The structure in CIF format:
```
data_La4SnTe2Cl
_symmetry_space_group_name_H-M 'P 1'
_symmetry_Int_Tables_number 1
_cell_length_a 9.045
_cell_length_b 9.045
_cell_length_c 9.052
_cell_angle_alpha 120.03
_cell_angle_beta 120.03
_cell_angle_gamma 89.85
loop_
_symmetry_equiv_pos_as_xyz
'x,y,z'
loop_
_atom_site_label
_atom_site_type_symbol
_atom_site_fract_x
_atom_site_fract_y
_atom_site_fract_z
_atom_site_occupancy
Te1 Te 0.500 0.500 0.000 1
La1 La 0.247 0.253 0.006 1
Sn1 Sn 0.000 0.500 0.000 1
La2 La 0.247 0.253 0.494 1
Te2 Te 0.500 0.000 0.000 1
La3 La 0.758 0.250 0.004 1
Te3 Te 0.000 0.000 0.500 1
La4 La 0.753 0.747 0.506 1
Te4 Te 0.500 0.000 0.500 1
Cl1 Cl 0.000 0.000 0.000 1
Cl2 Cl 0.500 0.500 0.500 1
La5 La 0.242 0.750 0.996 1
La6 La 0.753 0.747 0.994 1
Sn2 Sn 0.000 0.500 0.500 1
La7 La 0.250 0.742 0.496 1
La8 La 0.750 0.258 0.504 1
```

=====

Density functional theory data (PBE) for LaTlSnCl6 after structural relaxation.

The structure in CIF format:
```
data_LaTlSnCl6
_symmetry_space_group_name_H-M 'P 1'
_symmetry_Int_Tables_number 1
_cell_length_a 7.463
_cell_length_b 7.463
_cell_length_c 13.505
_cell_angle_alpha 90.00
_cell_angle_beta 90.00
_cell_angle_gamma 120.00
loop_
_symmetry_equiv_pos_as_xyz
'x,y,z'
loop_
_atom_site_label
_atom_site_type_symbol
_atom_site_fract_x
_atom_site_fract_y
_atom_site_fract_z
_atom_site_occupancy
Tl1 Tl 0.000 0.000 0.500 1
Cl1 Cl 0.994 0.632 0.364 1
Cl2 Cl 0.368 0.361 0.364 1
Sn1 Sn 0.667 0.333 0.750 1
Tl2 Tl 0.000 0.000 0.000 1
La1 La 0.333 0.667 0.750 1
Sn2 Sn 0.333 0.667 0.250 1
Cl3 Cl 0.639 0.632 0.136 1
Cl4 Cl 0.632 0.994 0.864 1
Cl5 Cl 0.994 0.361 0.136 1
Cl6 Cl 0.006 0.639 0.864 1
Cl7 Cl 0.361 0.368 0.864 1
Cl8 Cl 0.639 0.006 0.364 1
Cl9 Cl 0.361 0.994 0.636 1
Cl10 Cl 0.368 0.006 0.136 1
Cl11 Cl 0.006 0.368 0.636 1
La2 La 0.667 0.333 0.250 1
Cl12 Cl 0.632 0.639 0.636 1
```

=====

no.,spin magnetization (μB per atom),formation energy (no corrections) (meV/atom)
1,0.90,750
2,0.11,-1206
3,0.00,-1397
4,0.00,-1632